Material: BeP2BrCl
Method: DFT, GGA-PBE
State: relaxed

abc: 4.9537 4.9537 5.0274
angles: 90.00 90.00 90.00
Space group P4/mmm (No. 123)
One atom of each set of equivalent atoms:
Be (0.0000, 0.0000, 0.0000)
P (0.0000, 0.5000, 0.5000)
Br (0.5000, 0.5000, 0.5000)
Cl (0.5000, 0.5000, 0.0000)

Calculated values
total DFT energy (no corrections): -10.0 eV/cell
formation energy without anion corrections: 1.6093 eV per atom
magnetic moment: 0.14 μB/atom